! CoPbF2 | Alexandria via LeMat-Bulk | PBE with a Hubbard U | optimized geometry; values from VASP
! Mass density   7567 kg/m3
! E_tot   -4.183 eV/atom
! Polymorph energy (0 for the lowest one)   395 meV per atom
! Magnetization   2.28 μB per formula unit
&SYSTEM
  ibrav = 0, nat = 8, ntyp = 3
/
ATOMIC_SPECIES
Pb 207.20 Pb.upf
Co 58.93 Co.upf
F 19.00 F.upf
CELL_PARAMETERS angstrom
-3.867 -1.185 -1.194
1.045 -4.038 0.625
-3.758 -2.118 6.827
ATOMIC_POSITIONS crystal
Pb 0.000 0.000 0.000
Pb 0.750 0.250 0.500
Co 0.500 0.500 0.000
Co 0.250 0.750 0.500
F 0.569 0.125 0.250
F 0.181 0.625 0.250
F 0.375 0.431 0.750
F 0.875 0.819 0.750